(1)
Below is an optimized crystal structure of Li2SmHo, with properties calculated at the GGA-PBE level.

a = 3.7313 Å, b = 3.7313 Å, c = 7.4982 Å
α = 90.00°, β = 90.00°, γ = 90.00°
Fractional coordinates of all 4 atoms:
1 Li 0.0000 0.0000 0.2543
2 Li 0.0000 0.0000 0.7457
3 Sm 0.5000 0.5000 0.0000
4 Ho 0.5000 0.5000 0.5000

---

(2)
Below is an optimized crystal structure of CaTcAs2, with properties calculated at the GGA-PBE level.

a = 7.4050 Å, b = 7.4050 Å, c = 7.4050 Å
α = 154.63°, β = 152.69°, γ = 37.62°
Fractional coordinates of all 4 atoms:
1 As 0.7794 0.2794 0.5000
2 As 0.0698 0.0698 0.0000
3 Ca 0.4467 0.4467 0.0000
4 Tc 0.2042 0.7042 0.5000

---

(3)
Below is an optimized crystal structure of Tb5HN4, with properties calculated at the GGA-PBE level.

a = 3.5177 Å, b = 3.5177 Å, c = 12.4668 Å
α = 98.11°, β = 98.11°, γ = 90.00°
Fractional coordinates of all 10 atoms:
1 Tb 0.8969 0.8969 0.7938
2 Tb 0.1031 0.1031 0.2062
3 Tb 0.7008 0.7008 0.4016
4 Tb 0.5000 0.5000 0.0000
5 Tb 0.2992 0.2992 0.5984
6 H 0.0000 0.0000 0.0000
7 N 0.4031 0.4031 0.8063
8 N 0.1985 0.1985 0.3970
9 N 0.8015 0.8015 0.6030
10 N 0.5969 0.5969 0.1937

---

(4)
Below is an optimized crystal structure of CsKGe2, with properties calculated at the GGA-PBE level.

a = 7.5071 Å, b = 8.4998 Å, c = 10.1803 Å
α = 90.00°, β = 90.00°, γ = 90.00°
Fractional coordinates of all 16 atoms:
1 K 0.7500 0.2739 0.6733
2 K 0.7500 0.7739 0.8267
3 K 0.2500 0.7261 0.3267
4 K 0.2500 0.2261 0.1733
5 Ge 0.4126 0.3781 0.4664
6 Ge 0.9126 0.6219 0.5336
7 Ge 0.0874 0.8781 0.0336
8 Ge 0.9126 0.1219 0.9664
9 Ge 0.0874 0.3781 0.4664
10 Ge 0.5874 0.6219 0.5336
11 Ge 0.5874 0.1219 0.9664
12 Ge 0.4126 0.8781 0.0336
13 Cs 0.2500 0.5065 0.8199
14 Cs 0.2500 0.0065 0.6801
15 Cs 0.7500 0.9935 0.3199
16 Cs 0.7500 0.4935 0.1801

---

The following total DFT energy (no corrections) values (in eV/cell) correspond, in order, to the records above: -12.5, -23.3, -73.8, -46.5.
The following magnetization values (in μB/f.u.) correspond, in order, to the records above: 0.001, 0.000, 0.059, 0.000.